# 1
VASP calculation (GGA-PBEsol) on a relaxed structure of CeCuSi2Pd.

Properties
* raw formation energy: -0.78 eV/atom
* magnetization: 0.001 μB per atom
* DOS at the Fermi energy: 6.90 states/eV per cell

abc: 4.0575 4.0575 9.9607
angles: 90.00 90.00 90.00
With the nearest neighbours (Å) after each atom.
Space group I-4m2 (No. 119)
Inequivalent atoms, fractional coordinates:
Ce: 0.0000 0.0000 0.0000 [2 per cell]  8 Si 3.10, 4 Pd 3.21, 4 Cu 3.21
Cu: 0.0000 0.5000 0.2500 [2 per cell]  4 Si 2.42
Si: 0.0000 0.0000 0.3823 [4 per cell]  1 Si 2.34, 2 Cu 2.42, 2 Pd 2.42
Pd: 0.0000 0.5000 0.7500 [2 per cell]  4 Si 2.42



# 2
VASP calculation (GGA-PBEsol) on a relaxed structure of CeCuSi2Ru.

Properties
* raw formation energy: -0.64 eV/atom
* magnetization: 0.000 μB per atom
* DOS at the Fermi energy: 11.05 states/eV per cell

abc: 3.9788 3.9788 10.1188
angles: 90.00 90.00 90.00
With the nearest neighbours (Å) after each atom.
Space group I-4m2 (No. 119)
Inequivalent atoms, fractional coordinates:
Ce: 0.0000 0.0000 0.0000 [2 per cell]  8 Si 3.06, 4 Ru 3.22, 4 Cu 3.22
Cu: 0.0000 0.5000 0.2500 [2 per cell]  4 Si 2.39
Si: 0.0000 0.0000 0.3805 [4 per cell]  2 Ru 2.39, 2 Cu 2.39, 1 Si 2.42
Ru: 0.0000 0.5000 0.7500 [2 per cell]  4 Si 2.39



# 3
VASP calculation (GGA-PBEsol) on a relaxed structure of CeCuS2.

Properties
* raw formation energy: -1.35 eV/atom
* magnetization: 0.254 μB per atom
* DOS at the Fermi energy: 25.71 states/eV per cell

abc: 6.3089 7.0870 6.7611
angles: 90.00 97.92 90.00
With the nearest neighbours (Å) after each atom.
Space group P2_1/c (No. 14)
Inequivalent atoms, fractional coordinates:
Ce: 0.1878 0.0523 0.3013 [4 per cell]  7 S 2.79-2.99
Cu: 0.4336 0.6642 0.4547 [4 per cell]  4 S 2.27-2.52, 1 Cu 2.52
S: 0.0912 0.7257 0.5017 [4 per cell]  1 Cu 2.27
S: 0.4047 0.1120 0.7184 [4 per cell]  3 Cu 2.29-2.52



# 4
VASP calculation (GGA-PBEsol) on a relaxed structure of Ce3CuSiS7.

Properties
* raw formation energy: -1.51 eV/atom
* magnetization: 0.248 μB per atom
* DOS at the Fermi energy: 44.39 states/eV per cell

abc: 10.0161 10.0161 5.6672
angles: 90.00 90.00 120.00
With the nearest neighbours (Å) after each atom.
Space group P6_3 (No. 173)
Inequivalent atoms, fractional coordinates:
Ce: 0.1262 0.3569 0.0000 [6 per cell]  8 S 2.79-3.04
Cu: 0.0000 0.0000 0.4781 [2 per cell]  3 S 2.22
Si: 0.3333 0.6667 0.5850 [2 per cell]  4 S 2.10-2.14
S: 0.0886 0.2521 0.4896 [6 per cell]  1 Cu 2.22
S: 0.1078 0.5850 0.7268 [6 per cell]  1 Si 2.14
S: 0.3333 0.6667 0.2137 [2 per cell]  1 Si 2.10



# 5
VASP calculation (GGA-PBEsol) on a relaxed structure of Ce3Cu3Sb4.

Properties
* raw formation energy: -0.70 eV/atom
* magnetization: 0.278 μB per atom
* DOS at the Fermi energy: 70.85 states/eV per cell

abc: 9.5606 9.5606 9.5606
angles: 90.00 90.00 90.00
With the nearest neighbours (Å) after each atom.
Space group I-43d (No. 220)
Inequivalent atoms, fractional coordinates:
Ce: 0.0000 0.2500 0.3750 [12 per cell]  4 Cu 2.93
Cu: 0.0000 0.2500 0.8750 [12 per cell]  4 Sb 2.67, 4 Ce 2.93
Sb: 0.0823 0.0823 0.0823 [16 per cell]  3 Cu 2.67



# 6
VASP calculation (GGA-PBEsol) on a relaxed structure of Ce2Cu3Sb4.

Properties
* raw formation energy: -0.49 eV/atom
* magnetization: 0.170 μB per atom
* DOS at the Fermi energy: 13.19 states/eV per cell

abc: 4.4267 4.4267 9.8718
angles: 90.00 90.00 90.00
With the nearest neighbours (Å) after each atom.
Space group P4mm (No. 99)
Inequivalent atoms, fractional coordinates:
Ce: 0.0000 0.0000 0.0000 [1 per cell]  8 Sb 3.36-3.41, 8 Cu 3.36-3.37
Ce: 0.5000 0.5000 0.4908 [1 per cell]  4 Cu 3.19, 8 Sb 3.23-3.29
Cu: 0.0000 0.5000 0.2577 [2 per cell]  4 Sb 2.58-2.67
Cu: 0.5000 0.5000 0.8755 [1 per cell]  5 Sb 2.44-2.60
Sb: 0.0000 0.0000 0.4098 [1 per cell]  4 Cu 2.67
Sb: 0.0000 0.5000 0.7370 [2 per cell]  2 Cu 2.60
Sb: 0.5000 0.5000 0.1230 [1 per cell]  5 Cu 2.44-2.58



# 7
VASP calculation (GGA-PBEsol) on a relaxed structure of CeCuSe2.

Properties
* raw formation energy: -1.17 eV/atom
* magnetization: 0.251 μB per atom
* DOS at the Fermi energy: 27.62 states/eV per cell

abc: 6.4670 7.4033 7.1056
angles: 90.00 96.47 90.00
With the nearest neighbours (Å) after each atom.
Space group P2_1/c (No. 14)
Inequivalent atoms, fractional coordinates:
Ce: 0.1881 0.0475 0.2997 [4 per cell]  7 Se 2.90-3.14
Cu: 0.4478 0.6635 0.4599 [4 per cell]  4 Se 2.40-2.64, 1 Cu 2.56
Se: 0.0911 0.7226 0.5009 [4 per cell]  1 Cu 2.40
Se: 0.3909 0.1068 0.7172 [4 per cell]  3 Cu 2.42-2.64



# 8
VASP calculation (GGA-PBEsol) on a relaxed structure of Ce5CuSe8.

Properties
* raw formation energy: -1.55 eV/atom
* magnetization: 0.362 μB per atom
* DOS at the Fermi energy: 53.79 states/eV per cell

abc: 8.5443 8.5443 8.8946
angles: 90.00 90.00 90.00
With the nearest neighbours (Å) after each atom.
Space group I-4 (No. 82)
Inequivalent atoms, fractional coordinates:
Ce: 0.0000 0.0000 0.0000 [2 per cell]  8 Se 2.88-3.10
Ce: 0.1254 0.2492 0.3838 [8 per cell]  7 Se 2.88-3.09
Cu: 0.0000 0.5000 0.7500 [2 per cell]  4 Se 2.70
Se: 0.0657 0.1932 0.7119 [8 per cell]  1 Cu 2.70, 2 Ce 2.88-3.00
Se: 0.0819 0.3206 0.0644 [8 per cell]  5 Ce 2.88-3.03



# 9
VASP calculation (GGA-PBEsol) on a relaxed structure of CeDy3.

Properties
* energy relative to the elements: 110 meV per atom
* magnetization: 0.194 μB per atom
* DOS at the Fermi energy: 17.23 states/eV per cell

abc: 4.8902 4.8902 9.7629
angles: 90.00 90.00 90.00
With the nearest neighbours (Å) after each atom.
Space group I4/mmm (No. 139)
Inequivalent atoms, fractional coordinates:
Ce: 0.0000 0.0000 0.0000 [2 per cell]  12 Dy 3.45-3.46
Dy: 0.0000 0.0000 0.5000 [2 per cell]  8 Dy 3.45, 4 Ce 3.46
Dy: 0.0000 0.5000 0.2500 [4 per cell]  8 Dy 3.45-3.46, 4 Ce 3.45



What is the formula in the fourth record? Ce3CuSiS7



Which value of magnetization does entry 7 give? 0.251 μB per atom



What is the formula in the fourth record? Ce3CuSiS7



What is the magnetization in the ninth record? 0.194 μB per atom